No. 1
The following is a PBE-GGA calculation of Te2WBr after structural relaxation, from Alexandria.

Calculated values
The offset from the most stable computed form comes out at 1.102 eV/atom. As for the volume: 100 Å³/cell. The energy relative to the elements, uncorrected comes out at 1.173 eV per atom. As for the symmetry: No. 123.

a = 5.341 Å, b = 4.326 Å, c = 4.326 Å
α = 90.00°, β = 90.00°, γ = 90.00°
Last column: magnetic moment on the atom in μB.
Fractional positions:
Te 0.000 0.000 0.000  -0.10
Te 0.000 0.500 0.500  -0.10
Br 0.500 0.000 0.500  -0.03
W 0.500 0.500 0.000  2.63

***

No. 2
The following is a PBE-GGA calculation of CaCr2Pt after structural relaxation, from Alexandria.

Calculated values
As for the volume: 64 Å³/cell. As for the symmetry: No. 166. The value obtained for the formation energy is 766 meV per atom.

a = 9.601 Å, b = 9.601 Å, c = 9.601 Å
α = 16.67°, β = 16.67°, γ = 16.67°
Fractional positions:
Ca 0.250 0.250 0.250
Cr 0.008 0.008 0.008
Cr 0.492 0.492 0.492
Pt 0.750 0.750 0.750

***

No. 3
The following is a PBE-GGA calculation of Li4H9Ir2 after structural relaxation, from Alexandria.

Calculated values
As for the volume: 255 Å³/cell. As for the symmetry: No. 15. The value obtained for the energy is -4.04 eV per atom.

a = 4.706 Å, b = 4.702 Å, c = 14.376 Å
α = 109.01°, β = 90.01°, γ = 59.97°
Fractional positions:
Ir 0.065 0.868 0.651
Ir 0.067 0.868 0.151
Ir 0.935 0.132 0.349
Ir 0.933 0.132 0.849
H 0.002 0.725 0.250
H 0.806 0.533 0.429
H 0.273 0.725 0.750
H 0.334 0.839 0.570
H 0.197 0.980 0.071
H 0.666 0.161 0.430
H 0.998 0.275 0.750
H 0.194 0.467 0.571
H 0.823 0.980 0.571
H 0.339 0.467 0.071
H 0.803 0.020 0.929
H 0.276 0.000 0.250
H 0.724 0.000 0.750
H 0.177 0.020 0.429
H 0.827 0.840 0.070
H 0.173 0.160 0.930
H 0.727 0.275 0.250
H 0.661 0.533 0.929
Li 0.384 0.235 0.176
Li 0.616 0.765 0.824
Li 0.381 0.235 0.677
Li 0.793 0.416 0.061
Li 0.209 0.585 0.439
Li 0.619 0.765 0.323
Li 0.791 0.415 0.561
Li 0.207 0.584 0.939

***

> What is the formula in the second record?

CaCr2Pt